SrLi2Ag2 (GGA-PBEsol, optimized geometry); crystal system = tetragonal; DFT total energy = -2.65 eV per atom; E_form = -0.87 eV/f.u.; energy above the lowest structure with this stoichiometry = 0 meV/atom; space group = I4/mmm, No. 139
1.0
-2.945 3.073 0.503
-0.225 -0.901 4.184
6.048 3.008 -1.223
Li Sr Ag
2 1 2
Direct
0.250 0.750 0.500
0.750 0.250 0.500
0.000 0.000 0.000
0.611 0.611 0.222
0.389 0.389 0.778


Sr2LiAg (GGA-PBEsol, optimized geometry); crystal system = orthorhombic; DFT total energy = -2.37 eV per atom; E_form = -0.53 eV/f.u.; energy above the lowest structure with this stoichiometry = 0 meV/atom; space group = Amm2, No. 38
1.0
-2.563 -3.827 0.217
3.555 -2.477 -1.701
3.269 0.901 5.517
Li Sr Ag
1 2 1
Direct
0.695 0.500 0.389
0.392 0.500 0.785
0.106 0.000 0.212
0.814 0.000 0.629


SrLiAg2 (GGA-PBEsol, optimized geometry); crystal system = trigonal; DFT total energy = -2.77 eV per atom; E_form = -0.64 eV/f.u.; energy above the lowest structure with this stoichiometry = 58 meV/atom; space group = R3m, No. 160
1.0
4.617 0.000 0.000
-2.309 3.995 -0.044
0.000 -2.602 5.255
Ag Li Sr
2 1 1
Direct
0.047 0.093 0.140
0.753 0.507 0.261
0.448 0.895 0.343
0.252 0.504 0.756


SrLiAg2 (GGA-PBEsol, optimized geometry); crystal system = tetragonal; DFT total energy = -2.77 eV per atom; E_form = -0.65 eV/f.u.; energy above the lowest structure with this stoichiometry = 56 meV/atom; space group = P4/mmm, No. 123
1.0
3.553 0.000 0.000
0.000 3.553 0.000
0.000 0.000 6.983
Ag Li Sr
2 1 1
Direct
0.000 0.000 0.303
0.000 0.000 0.697
0.500 0.500 0.500
0.500 0.500 0.000


SrLiAg2 (GGA-PBEsol, optimized geometry); crystal system = orthorhombic; DFT total energy = -2.72 eV per atom; E_form = -0.44 eV/f.u.; energy above the lowest structure with this stoichiometry = 108 meV/atom; space group = Immm, No. 71
1.0
4.764 0.000 0.000
2.382 4.550 -0.021
2.382 1.201 4.389
Li Sr Ag
1 1 2
Direct
0.000 0.500 0.500
0.500 0.000 0.000
0.297 0.703 0.703
0.703 0.297 0.297


Sr2Li2Ag (GGA-PBEsol, optimized geometry); crystal system = tetragonal; DFT total energy = -2.23 eV per atom; E_form = -0.21 eV/f.u.; space group = I4/mmm, No. 139
1.0
3.913 0.000 0.000
0.000 3.913 0.000
-1.957 -1.957 9.720
Ag Li Sr
1 2 2
Direct
0.000 0.000 0.000
0.750 0.250 0.500
0.250 0.750 0.500
0.405 0.405 0.809
0.595 0.595 0.191